Record 1
VASP calculation (PBE) on a relaxed BaNdIn2Te4 crystal.

Calculated values
The value obtained for the formation energy (no corrections) is -944 meV per atom. The volume comes out at 37.2 A^3/atom. The total energy comes out at -32.3 eV for the cell shown. Its density is 5.70 Mg/m³.

Cell and atoms, written as POSCAR:
```
BaNdIn2Te4
1.0
8.1670 0.0000 0.0000
0.0000 4.6163 0.0000
-2.6391 0.0000 7.8956
Ba Nd In Te
1 1 2 4
direct
0.0000 0.0000 0.0000 Ba
0.0000 0.5000 0.5000 Nd
0.5000 0.0000 0.5000 In
0.5000 0.5000 0.0000 In
0.2414 0.0000 0.7213 Te
0.2571 0.5000 0.2810 Te
0.7429 0.5000 0.7190 Te
0.7586 0.0000 0.2787 Te
```



Record 2
VASP calculation (PBE) on a relaxed LiHfBi2O6 crystal.

Calculated values
The value obtained for the formation energy (no corrections) is -1911 meV per atom. The volume comes out at 14.2 A^3/atom. The total energy comes out at -68.5 eV for the cell shown. Its density is 8.20 Mg/m³.

Cell and atoms, written as POSCAR:
```
LiHfBi2O6
1.0
2.8589 1.6506 5.0015
-2.8589 1.6506 5.0015
0.0000 -3.3011 5.0015
Li Hf Bi O
1 1 2 6
direct
0.0000 0.0000 0.0000 Li
0.4940 0.4940 0.4940 Hf
0.2806 0.2806 0.2806 Bi
0.7849 0.7849 0.7849 Bi
0.1218 0.6824 0.3792 O
0.2094 0.6260 0.8300 O
0.3792 0.1218 0.6824 O
0.6260 0.8300 0.2094 O
0.6824 0.3792 0.1219 O
0.8300 0.2094 0.6260 O
```



Record 3
VASP calculation (PBE) on a relaxed Ca4Bi2P crystal.

Calculated values
The volume comes out at 33.4 A^3/atom. The total energy comes out at -27.2 eV for the cell shown. Its density is 4.33 Mg/m³.

Cell and atoms, written as POSCAR:
```
Ca4Bi2P
1.0
-2.6537 2.6537 8.2919
2.6537 -2.6537 8.2919
2.6537 2.6537 -8.2919
Ca Bi P
4 2 1
direct
0.0000 0.5000 0.5000 Ca
0.1707 0.1707 0.0000 Ca
0.5000 0.0000 0.5000 Ca
0.8293 0.8293 0.0000 Ca
0.3641 0.3641 0.0000 Bi
0.6359 0.6359 0.0000 Bi
0.0000 0.0000 0.0000 P
```



Record 4
VASP calculation (PBE) on a relaxed BeNi2BC crystal.

Calculated values
The volume comes out at 9.5 A^3/atom. The total energy comes out at -25.0 eV for the cell shown. Its density is 5.24 Mg/m³.

Cell and atoms, written as POSCAR:
```
BeNi2BC
1.0
3.9399 0.0000 0.0000
0.0000 3.9399 0.0000
0.0000 0.0000 3.0466
Be Ni B C
1 2 1 1
direct
0.0000 0.0000 0.0000 Be
0.0000 0.5000 0.0000 Ni
0.5000 0.0000 0.0000 Ni
0.5000 0.5000 0.5000 B
0.0000 0.0000 0.5000 C
```



Record 5
VASP calculation (PBE) on a relaxed PmDy2Hg2 crystal.

Calculated values
The volume comes out at 27.7 A^3/atom. The total energy comes out at -33.0 eV for the cell shown. Its density is 10.46 Mg/m³.

Cell and atoms, written as POSCAR:
```
PmDy2Hg2
1.0
3.7524 0.0000 0.0000
0.0000 5.3712 0.0000
-1.8753 0.0000 13.7254
Pm Dy Hg
2 4 4
direct
0.1479 0.2500 0.2925 Pm
0.8521 0.7500 0.7075 Pm
0.0485 0.7500 0.0957 Dy
0.2359 0.7500 0.4724 Dy
0.7641 0.2500 0.5276 Dy
0.9515 0.2500 0.9043 Dy
0.3550 0.2500 0.7116 Hg
0.4545 0.7500 0.9090 Hg
0.5455 0.2500 0.0910 Hg
0.6450 0.7500 0.2884 Hg
```



Record 6
VASP calculation (PBE) on a relaxed UZnCuSn crystal.

Calculated values
The volume comes out at 19.5 A^3/atom. The total energy comes out at -20.3 eV for the cell shown. Its density is 10.34 Mg/m³.

Cell and atoms, written as POSCAR:
```
UZnCuSn
1.0
0.0000 3.3917 3.3917
3.3917 0.0000 3.3917
3.3917 3.3917 0.0000
U Zn Cu Sn
1 1 1 1
direct
0.0000 0.0000 0.0000 U
0.7500 0.7500 0.7500 Zn
0.2500 0.2500 0.2500 Cu
0.5000 0.5000 0.5000 Sn
```



Record 7
VASP calculation (PBE) on a relaxed CaTa2Cd crystal.

Calculated values
The volume comes out at 22.0 A^3/atom. The total energy comes out at -24.8 eV for the cell shown. Its density is 9.71 Mg/m³.

Cell and atoms, written as POSCAR:
```
CaTa2Cd
1.0
4.9845 -1.4668 0.0000
4.9845 1.4668 0.0000
-0.6638 0.0000 6.0143
Ca Ta Cd
1 2 1
direct
0.0000 0.0000 0.0000 Ca
0.4992 0.4992 0.4754 Ta
0.7676 0.7676 0.3180 Ta
0.2442 0.2442 0.7544 Cd
```



Record 8
VASP calculation (PBE) on a relaxed Li2AgTe crystal.

Calculated values
The value obtained for the formation energy (no corrections) is -455 meV per atom. The volume comes out at 19.4 A^3/atom. The total energy comes out at -11.6 eV for the cell shown. Its density is 5.33 Mg/m³.

Cell and atoms, written as POSCAR:
```
Li2AgTe
1.0
-2.0753 2.0753 4.5068
2.0753 -2.0753 4.5068
2.0753 2.0753 -4.5068
Li Ag Te
2 1 1
direct
0.0000 0.0000 0.0000 Li
0.7500 0.2500 0.5000 Li
0.5000 0.5000 0.0000 Ag
0.2500 0.7500 0.5000 Te
```



Record 9
VASP calculation (PBE) on a relaxed CaCoHg crystal.

Calculated values
The volume comes out at 24.6 A^3/atom. The total energy comes out at -18.9 eV for the cell shown. Its density is 6.75 Mg/m³.

Cell and atoms, written as POSCAR:
```
CaCoHg
1.0
4.2483 -2.0154 0.0000
4.2483 2.0154 0.0000
-2.3951 0.0000 8.6093
Ca Co Hg
2 2 2
direct
0.0000 0.0000 0.0000 Ca
0.1305 0.1305 0.4580 Ca
0.2853 0.2853 0.7647 Co
0.8667 0.8667 0.6822 Co
0.5799 0.5799 0.7369 Hg
0.7607 0.7607 0.2341 Hg
```



Record 10
VASP calculation (PBE) on a relaxed RbPa2AlS8 crystal.

Calculated values
The value obtained for the formation energy (no corrections) is -1007 meV per atom. The volume comes out at 27.2 A^3/atom. The total energy comes out at -68.8 eV for the cell shown. Its density is 4.23 Mg/m³.

Cell and atoms, written as POSCAR:
```
RbPa2AlS8
1.0
6.2125 0.0000 0.0000
0.0000 8.4734 0.0000
-0.6072 0.0000 6.1954
Rb Pa Al S
1 2 1 8
direct
0.0000 0.0000 0.0000 Rb
0.5000 0.2507 0.5000 Pa
0.5000 0.7493 0.5000 Pa
0.0000 0.5000 0.0000 Al
0.2229 0.3074 0.1737 S
0.2229 0.6926 0.1737 S
0.2908 0.0000 0.6228 S
0.2932 0.5000 0.6741 S
0.7068 0.5000 0.3259 S
0.7092 0.0000 0.3772 S
0.7771 0.3074 0.8263 S
0.7771 0.6926 0.8263 S
```



Record 11
VASP calculation (PBE) on a relaxed Tl2MoPd crystal.

Calculated values
The volume comes out at 19.7 A^3/atom. The total energy comes out at -18.6 eV for the cell shown. Its density is 12.86 Mg/m³.

Cell and atoms, written as POSCAR:
```
Tl2MoPd
1.0
0.0000 3.4046 3.4046
3.4046 0.0000 3.4046
3.4046 3.4046 0.0000
Tl Mo Pd
2 1 1
direct
0.2500 0.2500 0.2500 Tl
0.7500 0.7500 0.7500 Tl
0.0000 0.0000 0.0000 Mo
0.5000 0.5000 0.5000 Pd
```



Record 12
VASP calculation (PBE) on a relaxed LaMgOs2 crystal.

Calculated values
The volume comes out at 19.7 A^3/atom. The total energy comes out at -27.9 eV for the cell shown. Its density is 11.46 Mg/m³.

Cell and atoms, written as POSCAR:
```
LaMgOs2
1.0
5.4772 -1.4883 0.0000
5.4772 1.4883 0.0000
-2.0355 0.0000 4.8317
La Mg Os
1 1 2
direct
0.0000 0.0000 0.0000 La
0.2001 0.2001 0.6289 Mg
0.4481 0.4481 0.4772 Os
0.7631 0.7631 0.1447 Os
```



Record 13
VASP calculation (PBE) on a relaxed SmMgNi2P2 crystal.

Calculated values
The volume comes out at 16.1 A^3/atom. The total energy comes out at -34.0 eV for the cell shown. Its density is 6.10 Mg/m³.

Cell and atoms, written as POSCAR:
```
SmMgNi2P2
1.0
3.8814 0.0000 0.0000
-1.9407 3.3614 0.0000
0.0000 0.0000 7.3873
Sm Mg Ni P
1 1 2 2
direct
0.0000 0.0000 0.0000 Sm
0.0000 0.0000 0.5000 Mg
0.3333 0.6667 0.7140 Ni
0.6667 0.3333 0.2860 Ni
0.3333 0.6667 0.2626 P
0.6667 0.3333 0.7374 P
```



Record 14
VASP calculation (PBE) on a relaxed Tc2OsRu crystal.

Calculated values
The volume comes out at 14.4 A^3/atom. The total energy comes out at -40.9 eV for the cell shown. Its density is 14.08 Mg/m³.

Cell and atoms, written as POSCAR:
```
Tc2OsRu
1.0
1.3631 0.7870 8.9281
-1.3631 0.7870 8.9281
0.0000 -1.5740 8.9281
Tc Os Ru
2 1 1
direct
0.0000 0.0000 0.0000 Tc
0.2492 0.2492 0.2492 Tc
0.7500 0.7500 0.7500 Os
0.4996 0.4996 0.4996 Ru
```



Record 15
VASP calculation (PBE) on a relaxed CrNiP2 crystal.

Calculated values
The volume comes out at 16.9 A^3/atom. The total energy comes out at -52.5 eV for the cell shown. Its density is 4.24 Mg/m³.

Cell and atoms, written as POSCAR:
```
CrNiP2
1.0
-2.6123 2.6123 4.9584
2.6123 -2.6123 4.9584
2.6123 2.6123 -4.9584
Cr Ni P
2 2 4
direct
0.0000 0.0000 0.0000 Cr
0.7500 0.2500 0.5000 Cr
0.2500 0.7500 0.5000 Ni
0.5000 0.5000 0.0000 Ni
0.1345 0.6250 0.0095 P
0.3750 0.3845 0.5095 P
0.6155 0.1250 0.9905 P
0.8750 0.8655 0.4905 P
```



Record 16
VASP calculation (PBE) on a relaxed Pm6Co2IrBr3 crystal.

Calculated values
The value obtained for the formation energy (no corrections) is -852 meV per atom. The volume comes out at 27.2 A^3/atom. The total energy comes out at -66.8 eV for the cell shown. Its density is 7.22 Mg/m³.

Cell and atoms, written as POSCAR:
```
Pm6Co2IrBr3
1.0
3.4857 -6.0399 0.0000
3.4857 6.0399 0.0000
-2.3192 0.0000 7.7535
Pm Co Ir Br
6 2 1 3
direct
0.0932 0.4358 0.8072 Pm
0.2213 0.2213 0.1925 Pm
0.4358 0.0932 0.8072 Pm
0.5642 0.9068 0.1928 Pm
0.7787 0.7787 0.8075 Pm
0.9068 0.5642 0.1928 Pm
0.1666 0.8334 0.0000 Co
0.8334 0.1666 0.0000 Co
0.5000 0.5000 0.0000 Ir
0.0000 0.0000 0.5000 Br
0.3326 0.6674 0.5000 Br
0.6674 0.3326 0.5000 Br
```



Record 17
VASP calculation (PBE) on a relaxed NdY6Tm12 crystal.

Calculated values
The volume comes out at 33.8 A^3/atom. The total energy comes out at -88.6 eV for the cell shown. Its density is 6.99 Mg/m³.

Cell and atoms, written as POSCAR:
```
NdY6Tm12
1.0
7.5432 4.3550 3.2577
-7.5432 4.3550 3.2577
0.0000 -8.7101 3.2577
Nd Y Tm
1 6 12
direct
0.0000 0.0000 0.0000 Nd
0.2519 0.6780 0.6780 Y
0.3220 0.3220 0.7481 Y
0.3220 0.7481 0.3220 Y
0.6780 0.2519 0.6780 Y
0.6780 0.6780 0.2519 Y
0.7481 0.3220 0.3220 Y
0.1084 0.5000 0.8916 Tm
0.1084 0.8916 0.5000 Tm
0.1516 0.3640 0.3640 Tm
0.3640 0.1516 0.3640 Tm
0.3640 0.3640 0.1516 Tm
0.5000 0.1084 0.8916 Tm
0.5000 0.8916 0.1084 Tm
0.6360 0.6360 0.8484 Tm
0.6360 0.8484 0.6360 Tm
0.8484 0.6360 0.6360 Tm
0.8916 0.1084 0.5000 Tm
0.8916 0.5000 0.1084 Tm
```



Record 18
VASP calculation (PBE) on a relaxed RuPb2Br crystal.

Calculated values
The value obtained for the formation energy (no corrections) is 373 meV per atom. The volume comes out at 36.2 A^3/atom. The total energy comes out at -33.7 eV for the cell shown. Its density is 6.83 Mg/m³.

Cell and atoms, written as POSCAR:
```
RuPb2Br
1.0
-3.3070 3.3070 6.6159
3.3070 -3.3070 6.6159
3.3070 3.3070 -6.6159
Ru Pb Br
2 4 2
direct
0.0000 0.0000 0.0000 Ru
0.7500 0.2500 0.5000 Ru
0.0459 0.6250 0.9209 Pb
0.3750 0.2959 0.4209 Pb
0.7041 0.1250 0.0791 Pb
0.8750 0.9541 0.5791 Pb
0.2500 0.7500 0.5000 Br
0.5000 0.5000 0.0000 Br
```



Record 19
VASP calculation (PBE) on a relaxed In2SiHg crystal.

Calculated values
The value obtained for the formation energy (no corrections) is 202 meV per atom. The volume comes out at 25.4 A^3/atom. The total energy comes out at -10.4 eV for the cell shown. Its density is 7.50 Mg/m³.

Cell and atoms, written as POSCAR:
```
In2SiHg
1.0
2.1225 1.2254 6.5011
-2.1225 1.2254 6.5011
0.0000 -2.4508 6.5011
In Si Hg
2 1 1
direct
0.2364 0.2364 0.2364 In
0.7636 0.7636 0.7636 In
0.5000 0.5000 0.5000 Si
0.0000 0.0000 0.0000 Hg
```



Record 20
VASP calculation (PBE) on a relaxed Th2Ga3Pd4Au crystal.

Calculated values
The volume comes out at 19.7 A^3/atom. The total energy comes out at -55.2 eV for the cell shown. Its density is 10.94 Mg/m³.

Cell and atoms, written as POSCAR:
```
Th2Ga3Pd4Au
1.0
4.1050 0.0000 0.0000
0.0000 4.1050 0.0000
0.0000 0.0000 11.6707
Th Ga Pd Au
2 3 4 1
direct
0.0000 0.5000 0.2458 Th
0.5000 0.0000 0.7542 Th
0.0000 0.0000 0.0000 Ga
0.0000 0.5000 0.6262 Ga
0.5000 0.0000 0.3738 Ga
0.0000 0.0000 0.5000 Pd
0.0000 0.5000 0.8398 Pd
0.5000 0.0000 0.1602 Pd
0.5000 0.5000 0.5000 Pd
0.5000 0.5000 0.0000 Au
```